# 1
Computed, not measured: Sc6Ge2As3Se after structural relaxation at the PBE level of DFT.

Cell: 17.0145 3.8213 7.8971 Å, 90.00 103.56 90.00°
With the nearest neighbours (Å) after each atom.
Space group C2/m (No. 12)
One atom of each set of equivalent atoms:
Sc (0.0012, 0.0000, 0.2570) [4 per cell]  3 As 2.71-2.74, 1 Ge 2.74, 2 Se 2.78
Sc (0.1659, 0.5000, 0.5879) [4 per cell]  3 As 2.73-2.74, 3 Ge 2.77
Sc (0.1682, 0.5000, 0.0818) [4 per cell]  3 As 2.72-2.76, 2 Ge 2.76, 1 Se 2.78
Ge (0.1668, 0.0000, 0.3338) [4 per cell]  6 Sc 2.74-2.77
As (0.0000, 0.5000, 0.5000) [2 per cell]  6 Sc 2.71-2.74
As (0.1647, 0.0000, 0.8346) [4 per cell]  6 Sc 2.72-2.76
Se (0.0000, 0.5000, 0.0000) [2 per cell]  6 Sc 2.78

The calculation puts the formation energy from raw total energies at -14.399 eV/f.u. The value obtained for the raw total energy is -6.5880 eV/atom.

# 2
Computed, not measured: Sc6Ge2TeAs3 after structural relaxation at the PBE level of DFT.

Cell: 17.2507 3.8633 8.0190 Å, 90.00 104.13 90.00°
With the nearest neighbours (Å) after each atom.
Space group C2/m (No. 12)
One atom of each set of equivalent atoms:
Sc (0.0021, 0.0000, 0.2706) [4 per cell]  3 As 2.67-2.77, 1 Ge 2.77, 2 Te 2.90
Sc (0.1666, 0.5000, 0.5889) [4 per cell]  3 As 2.77-2.79, 3 Ge 2.78-2.81
Sc (0.1743, 0.5000, 0.0858) [4 per cell]  3 As 2.72-2.77, 2 Ge 2.80, 1 Te 2.92
Ge (0.1675, 0.0000, 0.3351) [4 per cell]  6 Sc 2.77-2.81
Te (0.0000, 0.5000, 0.0000) [2 per cell]  6 Sc 2.90-2.92
As (0.0000, 0.5000, 0.5000) [2 per cell]  6 Sc 2.67-2.79
As (0.1632, 0.0000, 0.8340) [4 per cell]  6 Sc 2.72-2.77

The calculation puts the formation energy from raw total energies at -13.302 eV/f.u. The value obtained for the raw total energy is -6.4681 eV/atom.